! K2ScIn2 | Alexandria | GGA-PBE | optimized geometry; values from VASP
! SG: No. 127
! E_form in eV/atom: 0.15
! Spin magnetization in μB per atom: 0.126
! Calculated volume in Å³/atom: 36.885
! Energy in eV for the cell shown: -26.49
! Offset from the most stable computed form in meV per atom: 0.0
&SYSTEM
  ibrav = 0, nat = 10, ntyp = 3
/
ATOMIC_SPECIES
Sc 44.96 Sc.upf
K 39.10 K.upf
In 114.82 In.upf
CELL_PARAMETERS angstrom
-2.794 -7.243 -0.668
2.877 -1.758 7.025
-5.208 1.772 2.576
ATOMIC_POSITIONS crystal
Sc 0.000 0.000 0.000
Sc 0.500 0.500 0.000
K 0.327 0.173 0.500
K 0.827 0.327 0.500
K 0.173 0.673 0.500
In 0.138 0.362 0.000
K 0.673 0.827 0.500
In 0.638 0.138 0.000
In 0.362 0.862 0.000
In 0.862 0.638 0.000